Below is a relaxed MgPN crystal, with properties calculated at the PBE level.

Values from the calculation:
E_form (uncorrected): -1.799 eV/f.u.
Space group: C2 (5)

Cell and atoms, written as CIF:
```
data_MgPN
_cell_length_a 3.3149
_cell_length_b 5.4618
_cell_length_c 9.5091
_cell_angle_alpha 90.00
_cell_angle_beta 102.04
_cell_angle_gamma 90.00
_symmetry_space_group_name_H-M 'P 1'
_symmetry_Int_Tables_number 1
loop_
_symmetry_equiv_pos_as_xyz
'x,y,z'
loop_
_atom_site_label
_atom_site_type_symbol
_atom_site_fract_x
_atom_site_fract_y
_atom_site_fract_z
P1 P 0.0000 0.5214 0.0000
P2 P 0.0000 0.0214 0.5000
P3 P 0.5000 0.8004 0.0000
P4 P 0.5000 0.3004 0.5000
N1 N 0.6304 0.9366 0.1547
N2 N 0.3696 0.4366 0.3453
N3 N 0.6304 0.4366 0.6547
N4 N 0.3696 0.9366 0.8453
Mg1 Mg 0.7897 0.2908 0.2271
Mg2 Mg 0.2103 0.7908 0.2729
Mg3 Mg 0.2103 0.2908 0.7729
Mg4 Mg 0.7897 0.7908 0.7271
```

Below is a relaxed MgPN crystal, with properties calculated at the PBE level.

Values from the calculation:
E_form (uncorrected): -1.352 eV/f.u.
Space group: P1 (1)

Cell and atoms, written as CIF:
```
data_MgPN
_cell_length_a 3.0578
_cell_length_b 5.2034
_cell_length_c 5.4041
_cell_angle_alpha 114.89
_cell_angle_beta 90.10
_cell_angle_gamma 90.02
_symmetry_space_group_name_H-M 'P 1'
_symmetry_Int_Tables_number 1
loop_
_symmetry_equiv_pos_as_xyz
'x,y,z'
loop_
_atom_site_label
_atom_site_type_symbol
_atom_site_fract_x
_atom_site_fract_y
_atom_site_fract_z
N1 N 0.4868 0.3555 0.4617
N2 N 0.9869 0.0491 0.6892
Mg1 Mg 0.4860 0.7630 0.4371
Mg2 Mg 0.4869 0.1069 0.0098
P1 P 0.9852 0.6881 0.0299
P2 P 0.9861 0.3355 0.6329
```

Below is a relaxed MgPN crystal, with properties calculated at the PBE level.

Values from the calculation:
E_form (uncorrected): -1.271 eV/f.u.
Space group: P1 (1)

Cell and atoms, written as CIF:
```
data_MgPN
_cell_length_a 4.2076
_cell_length_b 4.9541
_cell_length_c 4.9820
_cell_angle_alpha 114.61
_cell_angle_beta 101.00
_cell_angle_gamma 92.86
_symmetry_space_group_name_H-M 'P 1'
_symmetry_Int_Tables_number 1
loop_
_symmetry_equiv_pos_as_xyz
'x,y,z'
loop_
_atom_site_label
_atom_site_type_symbol
_atom_site_fract_x
_atom_site_fract_y
_atom_site_fract_z
Mg1 Mg 0.6003 0.5998 0.1800
Mg2 Mg 0.1066 0.0940 0.8748
N1 N 0.5945 0.1960 0.8065
N2 N 0.3104 0.3517 0.3407
P1 P 0.0618 0.5135 0.5850
P2 P 0.6154 0.1791 0.4736
```

Below is a relaxed MgPaPN4 crystal, with properties calculated at the PBE level.

Values from the calculation:
E_form (uncorrected): -5.047 eV/f.u.
Space group: Imma (74)

Cell and atoms, written as CIF:
```
data_MgPaPN4
_cell_length_a 6.0780
_cell_length_b 6.1531
_cell_length_c 6.1531
_cell_angle_alpha 65.13
_cell_angle_beta 60.40
_cell_angle_gamma 60.40
_symmetry_space_group_name_H-M 'P 1'
_symmetry_Int_Tables_number 1
loop_
_symmetry_equiv_pos_as_xyz
'x,y,z'
loop_
_atom_site_label
_atom_site_type_symbol
_atom_site_fract_x
_atom_site_fract_y
_atom_site_fract_z
N1 N 0.2787 0.7454 0.2454
N2 N 0.7213 0.2546 0.7546
N3 N 0.2577 0.2837 0.2009
N4 N 0.2695 0.2546 0.7546
N5 N 0.7423 0.2991 0.2163
N6 N 0.2577 0.7009 0.7837
N7 N 0.7305 0.7454 0.2454
N8 N 0.7423 0.7163 0.7991
P1 P 0.6225 0.6275 0.1275
P2 P 0.3775 0.3725 0.8725
Pa1 Pa 0.0000 0.5000 0.5000
Pa2 Pa 0.0000 0.0000 0.0000
Mg1 Mg 0.0000 0.0000 0.5000
Mg2 Mg 0.5000 0.0000 0.5000
```

Below is a relaxed MgPa3P4N12 crystal, with properties calculated at the PBE level.

Values from the calculation:
E_form (uncorrected): -14.530 eV/f.u.
Space group: R32 (155)

Cell and atoms, written as CIF:
```
data_MgPa3P4N12
_cell_length_a 6.8747
_cell_length_b 6.8747
_cell_length_c 6.8747
_cell_angle_alpha 103.71
_cell_angle_beta 103.71
_cell_angle_gamma 103.71
_symmetry_space_group_name_H-M 'P 1'
_symmetry_Int_Tables_number 1
loop_
_symmetry_equiv_pos_as_xyz
'x,y,z'
loop_
_atom_site_label
_atom_site_type_symbol
_atom_site_fract_x
_atom_site_fract_y
_atom_site_fract_z
Mg1 Mg 0.0000 0.0000 0.0000
P1 P 0.9602 0.0398 0.5000
P2 P 0.5000 0.5000 0.5000
P3 P 0.0398 0.5000 0.9602
P4 P 0.5000 0.9602 0.0398
N1 N 0.1078 0.8922 0.5000
N2 N 0.6459 0.5000 0.3541
N3 N 0.0244 0.6414 0.8091
N4 N 0.5000 0.1078 0.8922
N5 N 0.3586 0.9756 0.1909
N6 N 0.6414 0.8091 0.0244
N7 N 0.8922 0.5000 0.1078
N8 N 0.5000 0.3541 0.6459
N9 N 0.9756 0.1909 0.3586
N10 N 0.8091 0.0244 0.6414
N11 N 0.3541 0.6459 0.5000
N12 N 0.1909 0.3586 0.9756
Pa1 Pa 0.5378 0.4622 0.0000
Pa2 Pa 0.0000 0.5378 0.4622
Pa3 Pa 0.4622 0.0000 0.5378
```

Below is a relaxed MgPaPN crystal, with properties calculated at the PBE level.

Values from the calculation:
E_form (uncorrected): -4.772 eV/f.u.
Space group: R-3m (166)

Cell and atoms, written as CIF:
```
data_MgPaPN
_cell_length_a 4.0319
_cell_length_b 4.0319
_cell_length_c 10.5308
_cell_angle_alpha 78.96
_cell_angle_beta 78.96
_cell_angle_gamma 60.00
_symmetry_space_group_name_H-M 'P 1'
_symmetry_Int_Tables_number 1
loop_
_symmetry_equiv_pos_as_xyz
'x,y,z'
loop_
_atom_site_label
_atom_site_type_symbol
_atom_site_fract_x
_atom_site_fract_y
_atom_site_fract_z
Pa1 Pa 0.6228 0.6228 0.1317
Pa2 Pa 0.3772 0.3772 0.8683
P1 P 0.1085 0.1085 0.6746
P2 P 0.8915 0.8915 0.3254
N1 N 0.3065 0.3065 0.0804
N2 N 0.6935 0.6935 0.9196
Mg1 Mg 0.1974 0.1974 0.4078
Mg2 Mg 0.8026 0.8026 0.5922
```

Below is a relaxed MgPaP2N6 crystal, with properties calculated at the PBE level.

Values from the calculation:
E_form (uncorrected): -7.714 eV/f.u.
Space group: C2/c (15)

Cell and atoms, written as CIF:
```
data_MgPaP2N6
_cell_length_a 5.2038
_cell_length_b 6.7370
_cell_length_c 6.7370
_cell_angle_alpha 85.63
_cell_angle_beta 79.66
_cell_angle_gamma 79.66
_symmetry_space_group_name_H-M 'P 1'
_symmetry_Int_Tables_number 1
loop_
_symmetry_equiv_pos_as_xyz
'x,y,z'
loop_
_atom_site_label
_atom_site_type_symbol
_atom_site_fract_x
_atom_site_fract_y
_atom_site_fract_z
Pa1 Pa 0.7500 0.6988 0.3012
Pa2 Pa 0.2500 0.3012 0.6988
N1 N 0.5286 0.3809 0.3155
N2 N 0.4714 0.6191 0.6845
N3 N 0.0286 0.3155 0.3809
N4 N 0.8485 0.0152 0.2242
N5 N 0.9714 0.6845 0.6191
N6 N 0.6556 0.1367 0.6081
N7 N 0.3485 0.2242 0.0152
N8 N 0.8444 0.3919 0.8633
N9 N 0.1556 0.6081 0.1367
N10 N 0.1515 0.9848 0.7758
N11 N 0.6515 0.7758 0.9848
N12 N 0.3444 0.8633 0.3919
P1 P 0.7731 0.1976 0.3761
P2 P 0.2269 0.8024 0.6239
P3 P 0.2731 0.3761 0.1976
P4 P 0.7269 0.6239 0.8024
Mg1 Mg 0.2500 0.9153 0.0847
Mg2 Mg 0.7500 0.0847 0.9153
```

Below is a relaxed Pm3MgP2N6 crystal, with properties calculated at the PBE level.

Values from the calculation:
E_form (uncorrected): -12.408 eV/f.u.
Space group: P-3m1 (164)

Cell and atoms, written as CIF:
```
data_Pm3MgP2N6
_cell_length_a 5.5817
_cell_length_b 5.5817
_cell_length_c 6.1332
_cell_angle_alpha 90.00
_cell_angle_beta 90.00
_cell_angle_gamma 120.00
_symmetry_space_group_name_H-M 'P 1'
_symmetry_Int_Tables_number 1
loop_
_symmetry_equiv_pos_as_xyz
'x,y,z'
loop_
_atom_site_label
_atom_site_type_symbol
_atom_site_fract_x
_atom_site_fract_y
_atom_site_fract_z
N1 N 0.3529 0.1765 0.7098
N2 N 0.8235 0.1765 0.7098
N3 N 0.6471 0.8235 0.2902
N4 N 0.1765 0.8235 0.2902
N5 N 0.8235 0.6471 0.7098
N6 N 0.1765 0.3529 0.2902
Pm1 Pm 0.6667 0.3333 0.3504
Pm2 Pm 0.3333 0.6667 0.6496
Pm3 Pm 0.0000 0.0000 0.0000
P1 P 0.6667 0.3333 0.8174
P2 P 0.3333 0.6667 0.1826
Mg1 Mg 0.0000 0.0000 0.5000
```

Below is a relaxed Pm2MgP2N6 crystal, with properties calculated at the PBE level.

Values from the calculation:
E_form (uncorrected): -9.002 eV/f.u.
Space group: R-3m (166)

Cell and atoms, written as CIF:
```
data_Pm2MgP2N6
_cell_length_a 5.4793
_cell_length_b 5.4793
_cell_length_c 6.4201
_cell_angle_alpha 64.74
_cell_angle_beta 64.74
_cell_angle_gamma 60.00
_symmetry_space_group_name_H-M 'P 1'
_symmetry_Int_Tables_number 1
loop_
_symmetry_equiv_pos_as_xyz
'x,y,z'
loop_
_atom_site_label
_atom_site_type_symbol
_atom_site_fract_x
_atom_site_fract_y
_atom_site_fract_z
N1 N 0.2556 0.7530 0.7357
N2 N 0.7444 0.2470 0.2643
N3 N 0.2470 0.7444 0.2643
N4 N 0.7530 0.2556 0.7357
N5 N 0.7444 0.7444 0.2643
N6 N 0.2556 0.2556 0.7357
Pm1 Pm 0.2084 0.2084 0.3749
Pm2 Pm 0.7916 0.7916 0.6251
P1 P 0.4193 0.4193 0.7422
P2 P 0.5807 0.5807 0.2578
Mg1 Mg 0.0000 0.0000 0.0000
```

Below is a relaxed Pr3MgP2N6 crystal, with properties calculated at the PBE level.

Values from the calculation:
E_form (uncorrected): -12.092 eV/f.u.
Space group: P-3m1 (164)

Cell and atoms, written as CIF:
```
data_Pr3MgP2N6
_cell_length_a 5.6191
_cell_length_b 5.6191
_cell_length_c 6.2661
_cell_angle_alpha 90.00
_cell_angle_beta 90.00
_cell_angle_gamma 120.00
_symmetry_space_group_name_H-M 'P 1'
_symmetry_Int_Tables_number 1
loop_
_symmetry_equiv_pos_as_xyz
'x,y,z'
loop_
_atom_site_label
_atom_site_type_symbol
_atom_site_fract_x
_atom_site_fract_y
_atom_site_fract_z
N1 N 0.8233 0.6466 0.7074
N2 N 0.1767 0.3534 0.2926
N3 N 0.6466 0.8233 0.2926
N4 N 0.1767 0.8233 0.2926
N5 N 0.3534 0.1767 0.7074
N6 N 0.8233 0.1767 0.7074
Pr1 Pr 0.0000 0.0000 0.0000
Pr2 Pr 0.6667 0.3333 0.3480
Pr3 Pr 0.3333 0.6667 0.6520
P1 P 0.3333 0.6667 0.1891
P2 P 0.6667 0.3333 0.8109
Mg1 Mg 0.0000 0.0000 0.5000
```